Computed, not measured: LaCe2ThN4 after structural relaxation at the GGA-PBE level of DFT.

a = 6.295 Å, b = 3.631 Å, c = 6.303 Å
α = 90.00°, β = 109.40°, γ = 90.00°
Positions (direct):
La 0.000 0.000 0.000
Ce 0.000 0.500 0.500
Ce 0.500 0.000 0.500
Th 0.500 0.500 0.000
N 0.258 0.000 0.743
N 0.267 0.500 0.266
N 0.733 0.500 0.734
N 0.742 0.000 0.257

- VASP energy: -0.31887 hartree per atom
- Formation energy from raw total energies: -1487 meV per atom
- V: 135.9 Å³/cell
- Total magnetic moment: 0.33 μB per formula unit